A plane-wave DFT calculation with PBE with a Hubbard U was carried out for a geometry-optimized Be3CoF structure.

Lattice parameters (Å, degrees): 3.5976 3.5976 3.5976 90.00 90.00 90.00
With the nearest neighbours (Å) after each atom.
Sites, in units of the cell vectors:
Be (0.0000, 0.0000, 0.5000)  2 F 1.80
Be (0.0000, 0.5000, 0.0000)  2 F 1.80
Be (0.5000, 0.0000, 0.0000)  2 F 1.80
Co (0.5000, 0.5000, 0.5000)  12 Be 2.54
F (0.0000, 0.0000, 0.0000)  6 Be 1.80

Calculated values
Symmetry: Pm-3m, No. 221
N(E_F): 1.700 states/eV/cell
E above lowest polymorph: 0 meV/atom
Calculated total energy: -3.640 eV/atom
V: 9.31 Å³/atom